(1)
# Ba4Ga5Pd

Crystalline Ba4Ga5Pd at its relaxed geometry (GGA-PBE, Alexandria).

POSCAR file:
```
Ba4Ga5Pd
1.0
0.683 2.071 3.918
-6.936 -3.472 4.494
5.348 -6.133 3.761
Ba Pd Ga
4 1 5
Direct
0.144 0.272 0.272 Ba
0.445 0.227 0.753 Ba
0.445 0.753 0.227 Ba
0.713 0.753 0.753 Ba
0.271 0.976 0.976 Pd
0.705 0.410 0.016 Ga
0.166 0.979 0.547 Ga
0.729 0.068 0.068 Ga
0.166 0.547 0.979 Ga
0.705 0.016 0.410 Ga
```

SG: Cm
DFT formation energy: -0.370 eV per atom



(2)
# HfSe

Crystalline HfSe at its relaxed geometry (GGA-PBE, Alexandria).

POSCAR file:
```
HfSe
1.0
-1.936 4.340 -4.399
-1.640 -2.489 -1.734
-4.251 -2.914 8.203
Hf Se
4 4
Direct
0.349 0.500 0.293 Hf
0.349 0.000 0.793 Hf
0.651 0.000 0.207 Hf
0.651 0.500 0.707 Hf
0.779 0.000 0.540 Se
0.779 0.500 0.040 Se
0.221 0.500 0.960 Se
0.221 0.000 0.460 Se
```

SG: C2/m
Formation energy (no corrections): -0.93 eV/atom



Result set for electronic total energy: -3.172 -7.646 eV per atom, one per record in the order listed.